# NaGaPb | Alexandria via LeMat-Bulk | GGA-PBE | relaxed
# Total magnetic moment: 0.0000 μB/atom
# ΔH_f (0 K): 0.4337 eV per atom
# DOS(E_F): 5.3 states/eV per cell
data_NaGaPb
_symmetry_space_group_name_H-M 'P 63/m m c'
_symmetry_Int_Tables_number 194
_symmetry_space_group_name_Hall '-P 6c 2c'
_cell_length_a 5.1653
_cell_length_b 5.1653
_cell_length_c 10.8238
_cell_angle_alpha 90.00
_cell_angle_beta 90.00
_cell_angle_gamma 120.00
loop_
_atom_site_label
_atom_site_fract_x
_atom_site_fract_y
_atom_site_fract_z
Na1 0.3333 0.6667 0.2500
Ga1 0.0000 0.0000 0.2500
Pb1 0.0000 0.0000 0.0000

---

# HgPRu | Alexandria via LeMat-Bulk | GGA-PBE | relaxed
# Total magnetic moment: 0.0002 μB/atom
# ΔH_f (0 K): 0.5193 eV per atom
# Relative energy among the computed polymorphs: 0.5516 eV per atom
# DOS(E_F): 11.2 states/eV per cell
data_HgPRu
_symmetry_space_group_name_H-M 'F -4 3 m'
_symmetry_Int_Tables_number 216
_symmetry_space_group_name_Hall 'F -4 2 3'
_cell_length_a 5.949
_cell_length_b 5.949
_cell_length_c 5.949
_cell_angle_alpha 90.00
_cell_angle_beta 90.00
_cell_angle_gamma 90.00
loop_
_atom_site_label
_atom_site_fract_x
_atom_site_fract_y
_atom_site_fract_z
Hg1 0.000 0.000 0.000
P1 0.250 0.250 0.250
Ru1 0.000 0.000 0.500

---

# ZrAg2F7 | Alexandria via LeMat-Bulk | GGA-PBE | relaxed
# Total magnetic moment: 0.0984 μB/atom
# ΔE_f (raw): -2361 meV per atom
# DOS(E_F): 5.3 states/eV per cell
data_ZrAg2F7
_symmetry_space_group_name_H-M 'C 1 2/c 1'
_symmetry_Int_Tables_number 15
_cell_length_a 12.061
_cell_length_b 6.480
_cell_length_c 7.612
_cell_angle_alpha 90.00
_cell_angle_beta 116.88
_cell_angle_gamma 90.00
loop_
_symmetry_equiv_pos_as_xyz
'x,y,z'
'-x,-y,-z'
'-x,y,-z+1/2'
'x,-y,z+1/2'
'x+1/2,y+1/2,z'
'-x+1/2,-y+1/2,-z'
'-x+1/2,y+1/2,-z+1/2'
'x+1/2,-y+1/2,z+1/2'
loop_
_atom_site_label
_atom_site_fract_x
_atom_site_fract_y
_atom_site_fract_z
Zr1 0.000 0.018 0.250
Ag1 0.171 0.493 0.754
F1 0.000 0.391 0.250
F2 0.073 0.141 0.544
F3 0.122 0.215 0.902
F4 0.179 0.148 0.300

---

# TaHSe | Alexandria via LeMat-Bulk | GGA-PBE | relaxed
# Total magnetic moment: 0.0000 μB/atom
# Final energy: -38.6 eV per cell
# DOS(E_F): 2.3 states/eV per cell
data_TaHSe
_symmetry_space_group_name_H-M 'P 1 21/m 1'
_symmetry_Int_Tables_number 11
_cell_length_a 3.348
_cell_length_b 3.449
_cell_length_c 8.955
_cell_angle_alpha 90.00
_cell_angle_beta 93.01
_cell_angle_gamma 90.00
loop_
_symmetry_equiv_pos_as_xyz
'x,y,z'
'-x,-y,-z'
'-x,y+1/2,-z'
'x,-y+1/2,z'
loop_
_atom_site_label
_atom_site_fract_x
_atom_site_fract_y
_atom_site_fract_z
Ta1 0.178 0.250 0.112
H1 0.316 0.750 0.016
Se1 0.276 0.750 0.678

---

# CaLuBi | Alexandria via LeMat-Bulk | GGA-PBE | relaxed
# Total magnetic moment: 0.0000 μB/atom
# ΔH_f (0 K): -0.3549 eV per atom
# Relative energy among the computed polymorphs: 0.0000 eV per atom
# DOS(E_F): 4.4 states/eV per cell
data_CaLuBi
_symmetry_space_group_name_H-M 'I 4 m m'
_symmetry_Int_Tables_number 107
_symmetry_space_group_name_Hall 'I 4 -2'
_cell_length_a 4.043
_cell_length_b 4.043
_cell_length_c 11.778
_cell_angle_alpha 90.00
_cell_angle_beta 90.00
_cell_angle_gamma 90.00
loop_
_atom_site_label
_atom_site_fract_x
_atom_site_fract_y
_atom_site_fract_z
Ca1 0.000 0.000 0.000
Lu1 0.000 0.000 0.709
Bi1 0.000 0.000 0.333